1.
A plane-wave DFT calculation with PBE was carried out for an optimized crystal structure of ScCo2Si4.

Values from the calculation:
The value obtained for the density of states at the Fermi level is 0.26 states/eV/atom. The value obtained for the total energy is -6.6704 eV per atom. For the energy relative to the elements, uncorrected, the calculation gives -61 kJ per mole of atoms.

a = 15.669 Å, b = 3.841 Å, c = 6.143 Å
α = 90.00°, β = 90.00°, γ = 90.00°
Space group Pnma (No. 62)
Asymmetric unit:
Sc 0.142 0.250 0.004 [4 per cell]
Co 0.035 0.750 0.749 [4 per cell]
Co 0.213 0.250 0.477 [4 per cell]
Si 0.030 0.750 0.130 [4 per cell]
Si 0.066 0.250 0.530 [4 per cell]
Si 0.182 0.750 0.685 [4 per cell]
Si 0.198 0.750 0.277 [4 per cell]

=====

2.
A plane-wave DFT calculation with PBE was carried out for an optimized crystal structure of Sc2CoSi.

Values from the calculation:
The value obtained for the density of states at the Fermi level is 1.08 states/eV/atom. The value obtained for the total energy is -6.7635 eV per atom. For the energy relative to the elements, uncorrected, the calculation gives -45 kJ per mole of atoms.

a = 3.049 Å, b = 4.398 Å, c = 9.951 Å
α = 90.00°, β = 90.00°, γ = 90.00°
Space group Imm2 (No. 44)
Asymmetric unit:
Sc 0.000 0.000 0.000 [2 per cell]
Sc 0.000 0.500 0.214 [2 per cell]
Co 0.000 0.000 0.475 [2 per cell]
Si 0.000 0.500 0.797 [2 per cell]

=====

3.
A plane-wave DFT calculation with PBE was carried out for an optimized crystal structure of Sc2CoSi.

Values from the calculation:
The value obtained for the density of states at the Fermi level is 0.51 states/eV/atom. The value obtained for the total energy is -6.4623 eV per atom. For the energy relative to the elements, uncorrected, the calculation gives -16 kJ per mole of atoms.

a = 7.602 Å, b = 3.032 Å, c = 6.232 Å
α = 90.00°, β = 98.89°, γ = 90.00°
Space group C2/m (No. 12)
Asymmetric unit:
Sc 0.247 0.000 0.266 [4 per cell]
Co 0.000 0.000 0.500 [2 per cell]
Si 0.000 0.500 0.000 [2 per cell]

=====

4.
A plane-wave DFT calculation with PBE was carried out for an optimized crystal structure of Sc2Co3Si3.

Values from the calculation:
The value obtained for the density of states at the Fermi level is 0.95 states/eV/atom. The value obtained for the total energy is -6.6947 eV per atom. The value obtained for the relative energy among the computed polymorphs is 13.5 kJ per mole of atoms. For the energy relative to the elements, uncorrected, the calculation gives -40 kJ per mole of atoms.

a = 3.000 Å, b = 12.855 Å, c = 11.846 Å
α = 90.00°, β = 90.00°, γ = 90.00°
Space group Cmcm (No. 63)
Asymmetric unit:
Sc 0.000 0.247 0.125 [8 per cell]
Co 0.000 0.038 0.601 [8 per cell]
Co 0.000 0.396 0.750 [4 per cell]
Si 0.000 0.409 0.541 [8 per cell]
Si 0.000 0.422 0.250 [4 per cell]

=====

5.
A plane-wave DFT calculation with PBE was carried out for an optimized crystal structure of ScCo2Si2.

Values from the calculation:
The value obtained for the density of states at the Fermi level is 0.72 states/eV/atom. The value obtained for the total energy is -6.8486 eV per atom. The value obtained for the relative energy among the computed polymorphs is 21.2 kJ per mole of atoms. For the energy relative to the elements, uncorrected, the calculation gives -55 kJ per mole of atoms.

a = 3.824 Å, b = 3.824 Å, c = 9.417 Å
α = 90.00°, β = 90.00°, γ = 90.00°
Space group I4/mmm (No. 139)
Asymmetric unit:
Sc 0.000 0.000 0.000 [2 per cell]
Co 0.000 0.000 0.381 [4 per cell]
Si 0.000 0.500 0.250 [4 per cell]

=====

6.
A plane-wave DFT calculation with PBE was carried out for an optimized crystal structure of Sc2CoSi.

Values from the calculation:
The value obtained for the density of states at the Fermi level is 0.89 states/eV/atom. The value obtained for the total energy is -6.4525 eV per atom. For the energy relative to the elements, uncorrected, the calculation gives -15 kJ per mole of atoms.

a = 3.115 Å, b = 4.194 Å, c = 5.454 Å
α = 90.00°, β = 90.00°, γ = 90.00°
Space group Pmm2 (No. 25)
Asymmetric unit:
Sc 0.000 0.000 0.000 [1 per cell]
Sc 0.500 0.500 0.342 [1 per cell]
Co 0.500 0.500 0.871 [1 per cell]
Si 0.000 0.000 0.509 [1 per cell]

=====

7.
A plane-wave DFT calculation with PBE was carried out for an optimized crystal structure of ScCo4Si.

Values from the calculation:
The value obtained for the density of states at the Fermi level is 1.33 states/eV/atom. The value obtained for the total energy is -6.8972 eV per atom. For the energy relative to the elements, uncorrected, the calculation gives -19 kJ per mole of atoms.

a = 6.688 Å, b = 6.688 Å, c = 6.688 Å
α = 90.00°, β = 90.00°, γ = 90.00°
Space group F-43m (No. 216)
Asymmetric unit:
Sc 0.000 0.000 0.000 [4 per cell]
Co 0.124 0.124 0.376 [16 per cell]
Si 0.250 0.250 0.750 [4 per cell]

=====

8.
A plane-wave DFT calculation with PBE was carried out for an optimized crystal structure of Sc2Co5Si4.

Values from the calculation:
The value obtained for the density of states at the Fermi level is 0.52 states/eV/atom. The value obtained for the total energy is -6.9936 eV per atom. For the energy relative to the elements, uncorrected, the calculation gives -62 kJ per mole of atoms.

a = 5.150 Å, b = 8.744 Å, c = 13.346 Å
α = 90.00°, β = 90.00°, γ = 90.00°
Space group Fmmm (No. 69)
Asymmetric unit:
Sc 0.000 0.000 0.125 [8 per cell]
Co 0.000 0.000 0.500 [4 per cell]
Co 0.250 0.250 0.000 [8 per cell]
Co 0.250 0.250 0.250 [8 per cell]
Si 0.000 0.153 0.368 [16 per cell]

=====

9.
A plane-wave DFT calculation with PBE was carried out for an optimized crystal structure of Sc2CoSi.

Values from the calculation:
The value obtained for the density of states at the Fermi level is 0.75 states/eV/atom. The value obtained for the total energy is -6.8443 eV per atom. For the energy relative to the elements, uncorrected, the calculation gives -53 kJ per mole of atoms.

a = 4.0715 Å, b = 4.0715 Å, c = 14.7069 Å
α = 90.00°, β = 90.00°, γ = 120.00°
Space group R3m (No. 160, hexagonal axes)
Asymmetric unit:
Sc 0.0000 0.0000 0.0000 [3 per cell]
Sc 0.0000 0.0000 0.1953 [3 per cell]
Co 0.0000 0.0000 0.4228 [3 per cell]
Si 0.0000 0.0000 0.7726 [3 per cell]

=====

10.
A plane-wave DFT calculation with PBE was carried out for an optimized crystal structure of Sc3Co6Si2.

Values from the calculation:
The value obtained for the density of states at the Fermi level is 0.76 states/eV/atom. The value obtained for the total energy is -7.1497 eV per atom. For the energy relative to the elements, uncorrected, the calculation gives -54 kJ per mole of atoms.

a = 8.406 Å, b = 8.406 Å, c = 8.406 Å
α = 90.00°, β = 90.00°, γ = 90.00°
Space group Im-3m (No. 229)
Asymmetric unit:
Sc 0.000 0.000 0.284 [12 per cell]
Co 0.000 0.343 0.343 [24 per cell]
Si 0.250 0.250 0.250 [8 per cell]

=====

11.
A plane-wave DFT calculation with PBE was carried out for an optimized crystal structure of ScCo2Si2.

Values from the calculation:
The value obtained for the density of states at the Fermi level is 0.55 states/eV/atom. The value obtained for the total energy is -7.0685 eV per atom. The value obtained for the relative energy among the computed polymorphs is 0.0 kJ per mole of atoms. For the energy relative to the elements, uncorrected, the calculation gives -76 kJ per mole of atoms.

a = 3.773 Å, b = 3.773 Å, c = 9.602 Å
α = 90.00°, β = 90.00°, γ = 90.00°
Space group I4/mmm (No. 139)
Asymmetric unit:
Sc 0.000 0.000 0.000 [2 per cell]
Co 0.000 0.500 0.250 [4 per cell]
Si 0.000 0.000 0.376 [4 per cell]

=====

12.
A plane-wave DFT calculation with PBE was carried out for an optimized crystal structure of Sc3Co2Si3.

Values from the calculation:
The value obtained for the density of states at the Fermi level is 0.55 states/eV/atom. The value obtained for the total energy is -6.9964 eV per atom. The value obtained for the relative energy among the computed polymorphs is 2.4 kJ per mole of atoms. For the energy relative to the elements, uncorrected, the calculation gives -78 kJ per mole of atoms.

a = 7.488 Å, b = 13.027 Å, c = 5.200 Å
α = 90.00°, β = 90.00°, γ = 90.00°
Space group Pnma (No. 62)
Asymmetric unit:
Sc 0.044 0.114 0.119 [8 per cell]
Sc 0.193 0.250 0.624 [4 per cell]
Co 0.080 0.592 0.395 [8 per cell]
Si 0.157 0.750 0.599 [4 per cell]
Si 0.201 0.039 0.632 [8 per cell]

=====

13.
A plane-wave DFT calculation with PBE was carried out for an optimized crystal structure of Sc2CoSi.

Values from the calculation:
The value obtained for the density of states at the Fermi level is 0.96 states/eV/atom. The value obtained for the total energy is -6.6774 eV per atom. For the energy relative to the elements, uncorrected, the calculation gives -37 kJ per mole of atoms.

a = 2.976 Å, b = 2.976 Å, c = 7.592 Å
α = 90.00°, β = 90.00°, γ = 90.00°
Space group P4mm (No. 99)
Asymmetric unit:
Sc 0.000 0.000 0.000 [1 per cell]
Sc 0.500 0.500 0.361 [1 per cell]
Co 0.500 0.500 0.763 [1 per cell]
Si 0.000 0.000 0.615 [1 per cell]

=====

14.
A plane-wave DFT calculation with PBE was carried out for an optimized crystal structure of ScCo2Si2.

Values from the calculation:
The value obtained for the density of states at the Fermi level is 0.50 states/eV/atom. The value obtained for the total energy is -6.8234 eV per atom. The value obtained for the relative energy among the computed polymorphs is 23.6 kJ per mole of atoms. For the energy relative to the elements, uncorrected, the calculation gives -53 kJ per mole of atoms.

a = 9.105 Å, b = 3.825 Å, c = 8.219 Å
α = 90.00°, β = 111.91°, γ = 90.00°
Space group C2/m (No. 12)
Asymmetric unit:
Sc 0.104 0.000 0.378 [4 per cell]
Co 0.114 0.500 0.634 [4 per cell]
Co 0.162 0.000 0.036 [4 per cell]
Si 0.054 0.500 0.878 [4 per cell]
Si 0.237 0.000 0.773 [4 per cell]

=====

15.
A plane-wave DFT calculation with PBE was carried out for an optimized crystal structure of Sc2CoSi.

Values from the calculation:
The value obtained for the density of states at the Fermi level is 0.56 states/eV/atom. The value obtained for the total energy is -6.4745 eV per atom. For the energy relative to the elements, uncorrected, the calculation gives -17 kJ per mole of atoms.

a = 3.1854 Å, b = 3.1854 Å, c = 23.9286 Å
α = 90.00°, β = 90.00°, γ = 120.00°
Space group R-3m (No. 166, hexagonal axes)
Asymmetric unit:
Sc 0.0000 0.0000 0.2435 [6 per cell]
Co 0.0000 0.0000 0.5000 [3 per cell]
Si 0.0000 0.0000 0.0000 [3 per cell]

=====

16.
A plane-wave DFT calculation with PBE was carried out for an optimized crystal structure of Sc3Co2Si3.

Values from the calculation:
The value obtained for the density of states at the Fermi level is 0.64 states/eV/atom. The value obtained for the total energy is -6.7275 eV per atom. The value obtained for the relative energy among the computed polymorphs is 28.3 kJ per mole of atoms. For the energy relative to the elements, uncorrected, the calculation gives -52 kJ per mole of atoms.

a = 3.601 Å, b = 9.774 Å, c = 14.324 Å
α = 90.00°, β = 90.00°, γ = 90.00°
Space group Cmcm (No. 63)
Asymmetric unit:
Sc 0.000 0.016 0.250 [4 per cell]
Sc 0.000 0.142 0.044 [8 per cell]
Co 0.000 0.235 0.654 [8 per cell]
Si 0.000 0.290 0.250 [4 per cell]
Si 0.000 0.419 0.105 [8 per cell]

=====

17.
A plane-wave DFT calculation with PBE was carried out for an optimized crystal structure of Sc2CoSiTc.

Values from the calculation:
The value obtained for the density of states at the Fermi level is 0.46 states/eV/atom. The value obtained for the total energy is -6.6421 eV per atom. For the energy relative to the elements, uncorrected, the calculation gives 45 kJ per mole of atoms.

a = 4.899 Å, b = 4.899 Å, c = 3.980 Å
α = 90.00°, β = 90.00°, γ = 90.00°
Space group P4/mmm (No. 123)
Asymmetric unit:
Sc 0.000 0.500 0.000 [2 per cell]
Co 0.000 0.000 0.500 [1 per cell]
Si 0.000 0.000 0.000 [1 per cell]
Tc 0.500 0.500 0.500 [1 per cell]

=====

18.
A plane-wave DFT calculation with PBE was carried out for an optimized crystal structure of ScCoSiTc.

Values from the calculation:
The value obtained for the density of states at the Fermi level is 1.33 states/eV/atom. The value obtained for the total energy is -7.7129 eV per atom. For the energy relative to the elements, uncorrected, the calculation gives -39 kJ per mole of atoms.

a = 6.030 Å, b = 6.030 Å, c = 6.030 Å
α = 90.00°, β = 90.00°, γ = 90.00°
Space group F-43m (No. 216)
Asymmetric unit:
Sc 0.000 0.000 0.000 [4 per cell]
Co 0.250 0.250 0.250 [4 per cell]
Si 0.000 0.000 0.500 [4 per cell]
Tc 0.250 0.250 0.750 [4 per cell]

=====

19.
A plane-wave DFT calculation with PBE was carried out for an optimized crystal structure of ScCoSiTc2.

Values from the calculation:
The value obtained for the density of states at the Fermi level is 1.38 states/eV/atom. The value obtained for the total energy is -7.6625 eV per atom. For the energy relative to the elements, uncorrected, the calculation gives 25 kJ per mole of atoms.

a = 4.470 Å, b = 4.470 Å, c = 4.154 Å
α = 90.00°, β = 90.00°, γ = 90.00°
Space group P4/mmm (No. 123)
Asymmetric unit:
Sc 0.000 0.000 0.000 [1 per cell]
Co 0.500 0.500 0.000 [1 per cell]
Si 0.500 0.500 0.500 [1 per cell]
Tc 0.000 0.500 0.500 [2 per cell]

=====

20.
A plane-wave DFT calculation with PBE was carried out for an optimized crystal structure of ThScCo2Si2.

Values from the calculation:
The value obtained for the density of states at the Fermi level is 0.98 states/eV/atom. The value obtained for the total energy is -7.1976 eV per atom. For the energy relative to the elements, uncorrected, the calculation gives -70 kJ per mole of atoms.

a = 4.1240 Å, b = 4.1240 Å, c = 6.8539 Å
α = 90.00°, β = 90.00°, γ = 120.00°
Space group P-3m1 (No. 164)
Asymmetric unit:
Th 0.0000 0.0000 0.0000 [1 per cell]
Sc 0.0000 0.0000 0.5000 [1 per cell]
Co 0.3333 0.6667 0.6988 [2 per cell]
Si 0.3333 0.6667 0.2958 [2 per cell]

=====

21.
A plane-wave DFT calculation with PBE was carried out for an optimized crystal structure of Sc2TiCo5Si2.

Values from the calculation:
The value obtained for the density of states at the Fermi level is 0.46 states/eV/atom. The value obtained for the total energy is -7.2636 eV per atom. For the energy relative to the elements, uncorrected, the calculation gives -55 kJ per mole of atoms.

a = 9.001 Å, b = 9.001 Å, c = 3.297 Å
α = 90.00°, β = 90.00°, γ = 90.00°
Space group P4/mbm (No. 127)
Asymmetric unit:
Sc 0.174 0.326 0.000 [4 per cell]
Ti 0.000 0.000 0.000 [2 per cell]
Co 0.000 0.500 0.500 [2 per cell]
Co 0.067 0.789 0.500 [8 per cell]
Si 0.123 0.623 0.000 [4 per cell]

=====

22.
A plane-wave DFT calculation with PBE was carried out for an optimized crystal structure of Sc2VCo5Si2.

Values from the calculation:
The value obtained for the density of states at the Fermi level is 0.62 states/eV/atom. The value obtained for the total energy is -7.2874 eV per atom. For the energy relative to the elements, uncorrected, the calculation gives -46 kJ per mole of atoms.

a = 8.933 Å, b = 8.933 Å, c = 3.281 Å
α = 90.00°, β = 90.00°, γ = 90.00°
Space group P4/mbm (No. 127)
Asymmetric unit:
Sc 0.174 0.326 0.000 [4 per cell]
V 0.000 0.000 0.000 [2 per cell]
Co 0.000 0.500 0.500 [2 per cell]
Co 0.065 0.795 0.500 [8 per cell]
Si 0.123 0.623 0.000 [4 per cell]